Cs4TbU3O12: relaxed, PBE-GGA.

Computed properties:
- DOS(E_F): 0.41 states/eV per atom
- Formation energy (no corrections): -56.37 eV per formula unit
- Spin magnetization: 1.003 μB/f.u.
- Energy: -7.8890 eV per atom

Unit cell a=7.6545 b=7.6545 c=7.6545 alpha=109.47 beta=109.47 gamma=109.47
Sites, in units of the cell vectors:
Cs 0.0000 0.0000 0.5000
Cs 0.0000 0.5000 0.0000
Cs 0.5000 0.0000 0.0000
Cs 0.5000 0.5000 0.5000
Tb 0.0000 0.0000 0.0000
U 0.0000 0.5000 0.5000
U 0.5000 0.0000 0.5000
U 0.5000 0.5000 0.0000
O 0.0000 0.2687 0.2687
O 0.0000 0.7313 0.7313
O 0.2500 0.5000 0.7500
O 0.2500 0.7500 0.5000
O 0.2687 0.0000 0.2687
O 0.2687 0.2687 0.0000
O 0.5000 0.2500 0.7500
O 0.5000 0.7500 0.2500
O 0.7313 0.0000 0.7313
O 0.7313 0.7313 0.0000
O 0.7500 0.2500 0.5000
O 0.7500 0.5000 0.2500